RbCd6Hg2 (PBE, relaxed); distance to the lowest polymorph of the same formula = 66.0 meV per atom; ρ = 7.4 g/cm3; M_tot = 0.0 μB per formula unit
1.0
-2.7293 -3.3287 -4.4948
2.6647 -3.7229 -8.3512
0.3187 -9.0361 -2.9919
Cd Rb Hg
6 1 2
direct
0.7569 0.0691 0.4491
0.5000 0.7125 0.2875
0.2431 0.9309 0.5509
0.5000 0.2875 0.7125
0.7569 0.4491 0.0691
0.2431 0.5509 0.9309
0.0000 0.0000 0.0000
0.8714 0.6230 0.6230
0.1286 0.3770 0.3770

=====

Rb2Cd2Hg (PBE, relaxed); distance to the lowest polymorph of the same formula = 44.9 meV per atom; ρ = 4.8 g/cm3; M_tot = 0.0 μB per formula unit
1.0
4.2717 0.0000 0.0000
0.0000 4.2717 0.0000
2.1359 2.1359 11.2332
Cd Rb Hg
2 2 1
direct
0.7500 0.2500 0.5000
0.2500 0.7500 0.5000
0.3948 0.3948 0.2104
0.6052 0.6052 0.7896
0.0000 0.0000 0.0000

=====

Rb4CdHg4 (PBE, relaxed); electronic total energy = -15.307 eV per cell; ρ = 5.2 g/cm3; M_tot = 0.0 μB per formula unit
1.0
-6.7550 2.9756 1.2167
-2.8584 -8.5754 5.1029
3.4244 4.1428 8.8802
Hg Rb Cd
8 8 2
direct
0.4112 0.5168 0.8663
0.9112 0.1337 0.0168
0.4112 0.9832 0.6337
0.0888 0.6337 0.5168
0.9112 0.3663 0.4832
0.5888 0.0168 0.3663
0.0888 0.8663 0.9832
0.5888 0.4832 0.1337
0.0998 0.5309 0.1807
0.9002 0.0309 0.6807
0.5998 0.8193 0.0309
0.4002 0.1807 0.9691
0.9002 0.4691 0.8193
0.0998 0.9691 0.3193
0.5998 0.6807 0.4691
0.4002 0.3193 0.5309
0.2500 0.7500 0.7500
0.7500 0.2500 0.2500

=====

Rb6CdHg2 (PBE, relaxed); electronic total energy = -16.489 eV per cell; ρ = 3.4 g/cm3; M_tot = 0.0 μB per formula unit
1.0
-5.3826 2.5447 9.2370
-1.9171 -10.3292 -3.2252
10.8869 0.5141 1.4073
Rb Cd Hg
12 2 4
direct
0.7029 0.0306 0.3277
0.1966 0.2403 0.4369
0.8034 0.7597 0.5631
0.9055 0.7227 0.1829
0.8034 0.2403 0.0438
0.5398 0.7227 0.8172
0.7029 0.3752 0.6723
0.4602 0.2773 0.1829
0.2971 0.6248 0.3277
0.1966 0.7597 0.9562
0.2971 0.9694 0.6723
0.0945 0.2773 0.8171
0.0000 0.5000 0.5000
0.0000 0.0000 0.0000
0.6324 0.0000 0.6324
0.3676 0.0000 0.3676
0.5000 0.6139 0.1139
0.5000 0.3861 0.8861

=====

Rb2Cd5Hg3 (PBE, relaxed); distance to the lowest polymorph of the same formula = 11.2 meV per atom; ρ = 6.9 g/cm3; M_tot = 0.0 μB per formula unit
1.0
-2.7057 1.8121 3.9648
3.3488 -2.1235 3.2559
6.6106 10.1963 -0.1490
Rb Hg Cd
2 3 5
direct
0.0000 0.5000 0.7482
0.5000 0.0000 0.2518
0.0000 0.0000 0.5000
0.0000 0.5000 0.3613
0.5000 0.0000 0.6387
0.5000 0.5000 0.5000
0.0000 0.0000 0.0000
0.5000 0.0000 0.8789
0.0000 0.5000 0.1211
0.5000 0.5000 0.0000

=====

Rb3CdHg2 (PBE, relaxed); distance to the lowest polymorph of the same formula = 10.7 meV per atom; ρ = 4.2 g/cm3; M_tot = 0.0 μB per formula unit
1.0
-4.3719 -5.0155 6.3815
3.2839 -8.5262 1.2297
4.6681 -1.3235 7.8390
Hg Rb Cd
4 6 2
direct
0.8625 0.8625 0.8625
0.3625 0.3625 0.3625
0.1375 0.1375 0.1375
0.6375 0.6375 0.6375
0.7500 0.4576 0.0424
0.4576 0.0424 0.7500
0.9576 0.2500 0.5424
0.5424 0.9576 0.2500
0.2500 0.5424 0.9576
0.0424 0.7500 0.4576
0.5000 0.5000 0.5000
0.0000 0.0000 0.0000